Density functional theory data (PBE-GGA) for a relaxed structure of LiPbF3.

ΔE to the lowest computed polymorph (eV/atom): 0.0563
Theoretical density (g/cm³): 6.38
Formation energy (no corrections) (meV/atom): -2512.7
DFT total energy (eV for the cell shown): -47.6

Cell and atoms, written as CIF:
```
data_LiPbF3
_space_group_name_H-M_alt 'P 1 21 1'
_space_group_IT_number 4
_space_group_name_Hall 'P 2yb'
_cell_length_a 4.5319
_cell_length_b 5.8861
_cell_length_c 5.3532
_cell_angle_alpha 90.00
_cell_angle_beta 98.96
_cell_angle_gamma 90.00
loop_
_atom_site_label
_atom_site_type_symbol
_atom_site_fract_x
_atom_site_fract_y
_atom_site_fract_z
Li1 Li 0.0742 0.0000 0.4518
Pb1 Pb 0.3129 0.5834 0.0882
F1 F 0.2086 0.2398 0.7081
F2 F 0.2206 0.7478 0.6886
F3 F 0.2582 0.9825 0.1502
```